No. 1
Density functional theory data (GGA-PBE) for NaCl after structural relaxation.

## Properties
Energy relative to the elements, uncorrected = -1706 meV/atom
Spin magnetization = 0.0 μB per formula unit
Fermi-level density of states = 0.0 states/eV per cell

a b c (Å): 8.5381 12.2443 12.3590
angles (deg): 90.00 90.00 90.00
Last column: nearest neighbours and their distance in Å.
Space group Fddd (No. 70, origin choice 2)
Inequivalent atoms, fractional coordinates:
Na1 0.1250 0.1250 0.2749  4 Cl 2.68-2.73
Cl1 0.1250 0.2892 0.1250  4 Na 2.68-2.73

=====

No. 2
Density functional theory data (GGA-PBE) for TbDy6Sc3 after structural relaxation.

## Properties
DFT formation energy = 0.167 eV/atom
Spin magnetization = 0.0 μB per formula unit
Energy above the most stable polymorph in this dataset = 0.382 eV per formula unit
Fermi-level density of states = 52.7 states/eV per cell

a b c (Å): 10.3228 18.6258 6.1918
angles (deg): 90.00 90.00 90.00
Last column: nearest neighbours and their distance in Å.
Space group Cmc2_1 (No. 36)
Inequivalent atoms, fractional coordinates:
Tb1 0.0000 0.2110 0.0000  3 Sc 3.03-3.28, 4 Dy 3.22-3.31
Dy1 0.0000 0.0458 0.3362  6 Dy 3.53-3.82, 4 Sc 3.57-3.62, 1 Tb 3.72
Dy2 0.0000 0.3055 0.5208  1 Sc 3.17, 6 Dy 3.33-3.53, 1 Tb 3.45
Dy3 0.1684 0.4642 0.6591  4 Sc 3.19-3.41, 5 Dy 3.37-3.53
Dy4 0.2383 0.2027 0.3338  3 Sc 3.18-3.49, 2 Tb 3.22-3.31, 3 Dy 3.33-3.43
Sc1 0.0000 0.3855 0.0693  7 Dy 3.17-3.48, 1 Tb 3.28, 2 Sc 3.41
Sc2 0.1918 0.1152 0.7672  1 Tb 3.03, 3 Dy 3.18-3.23

=====

No. 3
Density functional theory data (GGA-PBE) for NdSeF after structural relaxation.

## Properties
Energy relative to the elements, uncorrected = -2600 meV/atom
Spin magnetization = 0.0 μB per formula unit

a b c (Å): 6.1709 4.0165 6.1734
angles (deg): 90.00 96.27 90.00
Last column: nearest neighbours and their distance in Å.
Space group Pm (No. 6)
Inequivalent atoms, fractional coordinates:
Nd1 0.0000 0.0000 0.0000  2 F 2.26
Nd2 0.4679 0.0000 0.4688  2 F 2.26
Se1 0.1131 0.5000 0.3548  4 Nd 3.00, 4 F 3.12-3.26
Se2 0.5057 0.0000 0.9612  4 Nd 3.02-3.17
F1 0.6381 0.5000 0.4855  2 Nd 2.26
F2 0.9806 0.5000 0.8298  2 Nd 2.26

=====

No. 4
Density functional theory data (GGA-PBE) for LaNi2Pt after structural relaxation.

## Properties
DFT formation energy = 0.316 eV/atom
Spin magnetization = 0.3 μB per formula unit
Fermi-level density of states = 19.2 states/eV per cell

a b c (Å): 2.9697 2.9697 26.6790
angles (deg): 90.00 90.00 120.00
Last column: nearest neighbours and their distance in Å.
Space group R3m (No. 160, hexagonal axes)
Inequivalent atoms, fractional coordinates:
La1 0.0000 0.0000 0.0000  6 La 2.97, 3 Ni 3.05, 3 Pt 3.16
Ni1 0.0000 0.0000 0.4920  3 Ni 2.42, 3 Pt 2.64
Ni2 0.0000 0.0000 0.7614  3 Ni 2.42
Pt1 0.0000 0.0000 0.2338  3 Ni 2.64

=====

No. 5
Density functional theory data (GGA-PBE) for Sr3Zn3Au8 after structural relaxation.

## Properties
DFT formation energy = -0.557 eV/atom
Spin magnetization = 0.0 μB per formula unit
Energy above the most stable polymorph in this dataset = 0.000 eV per formula unit
Fermi-level density of states = 8.6 states/eV per cell

a b c (Å): 16.8961 4.6708 9.2973
angles (deg): 90.00 122.48 90.00
Last column: nearest neighbours and their distance in Å.
Space group C2/m (No. 12)
Inequivalent atoms, fractional coordinates:
Sr1 0.0000 0.0000 0.0000  8 Au 3.17-3.33
Sr2 0.2057 0.5000 0.6801  10 Au 3.19-3.48, 3 Zn 3.37-3.42
Zn1 0.0000 0.0000 0.5000  8 Au 2.63-2.85
Zn2 0.1732 0.5000 0.0076  5 Au 2.60-2.77
Au1 0.0101 0.5000 0.6857  3 Zn 2.77-2.85, 5 Au 2.97-3.01
Au2 0.1208 0.0000 0.4038  1 Zn 2.63, 2 Au 2.85
Au3 0.1366 0.0000 0.8468  4 Zn 2.66-2.78, 2 Au 2.97
Au4 0.1490 0.5000 0.2612  1 Zn 2.60, 2 Au 2.85

=====

No. 6
Density functional theory data (GGA-PBE) for Ba8NiPd3I4 after structural relaxation.

## Properties
Energy relative to the elements, uncorrected = -899 meV/atom
Spin magnetization = 0.0 μB per formula unit
Fermi-level density of states = 30.9 states/eV per cell

a b c (Å): 9.2773 9.2773 26.3275
angles (deg): 90.00 90.00 120.00
Last column: nearest neighbours and their distance in Å.
Space group R-3m (No. 166, hexagonal axes)
Inequivalent atoms, fractional coordinates:
Ba1 0.0000 0.0000 0.2343  3 Pd 3.22
Ba2 0.0048 0.5024 0.2340  1 Ni 3.18, 2 Pd 3.23
Ni1 0.0000 0.0000 0.5000  6 Ba 3.18
Pd1 0.0000 0.5000 0.5000  6 Ba 3.22-3.23
I1 0.0000 0.0000 0.0000  6 Ba 3.77
I2 0.0000 0.5000 0.0000  6 Ba 3.73-3.74

=====

The highest spin magnetization belongs to which entry?
LaNi2Pt